(1)
# TbDy2Y3Sb6 | Alexandria via LeMat-Bulk | GGA-PBE | relaxed
data_TbDy2Y3Sb6
_cell_length_a 7.607
_cell_length_b 13.176
_cell_length_c 7.602
_cell_angle_alpha 90.00
_cell_angle_beta 109.47
_cell_angle_gamma 90.00
_space_group_name_H-M_alt 'C 1 2/m 1'
_space_group_IT_number 12
loop_
_space_group_symop_operation_xyz
'x,y,z'
'-x,-y,-z'
'-x,y,-z'
'x,-y,z'
'x+1/2,y+1/2,z'
'-x+1/2,-y+1/2,-z'
'-x+1/2,y+1/2,-z'
'x+1/2,-y+1/2,z'
loop_
_atom_site_label
_atom_site_type_symbol
_atom_site_fract_x
_atom_site_fract_y
_atom_site_fract_z
Tb1 Tb 0.000 0.000 0.000
Dy1 Dy 0.000 0.333 0.000
Y1 Y 0.000 0.166 0.500
Y2 Y 0.000 0.500 0.500
Sb1 Sb 0.249 0.500 0.250
Sb2 Sb 0.250 0.167 0.250
# E_form (uncorrected)   -1.15 eV/atom
# Total DFT energy (no corrections)   -5.982 eV per atom
# Theoretical density   6.8 g cm⁻³

---

(2)
# Tb3Dy2YSb6 | Alexandria via LeMat-Bulk | GGA-PBE | relaxed
data_Tb3Dy2YSb6
_cell_length_a 19.154
_cell_length_b 4.395
_cell_length_c 8.790
_cell_angle_alpha 90.00
_cell_angle_beta 103.21
_cell_angle_gamma 90.00
_space_group_name_H-M_alt 'C 1 2/m 1'
_space_group_IT_number 12
loop_
_space_group_symop_operation_xyz
'x,y,z'
'-x,-y,-z'
'-x,y,-z'
'x,-y,z'
'x+1/2,y+1/2,z'
'-x+1/2,-y+1/2,-z'
'-x+1/2,y+1/2,-z'
'x+1/2,-y+1/2,z'
loop_
_atom_site_label
_atom_site_type_symbol
_atom_site_fract_x
_atom_site_fract_y
_atom_site_fract_z
Tb1 Tb 0.000 0.000 0.000
Tb2 Tb 0.167 0.500 0.333
Dy1 Dy 0.167 0.500 0.833
Y1 Y 0.000 0.000 0.500
Sb1 Sb 0.000 0.500 0.250
Sb2 Sb 0.167 0.000 0.082
Sb3 Sb 0.167 0.000 0.584
# E_form (uncorrected)   -1.15 eV/atom
# Total DFT energy (no corrections)   -5.671 eV per atom
# Theoretical density   7.5 g cm⁻³

---

(3)
# Dy6TcSb2 | Alexandria via LeMat-Bulk | GGA-PBE | relaxed
data_Dy6TcSb2
_cell_length_a 8.1926
_cell_length_b 8.1926
_cell_length_c 4.2518
_cell_angle_alpha 90.00
_cell_angle_beta 90.00
_cell_angle_gamma 120.00
_space_group_name_H-M_alt 'P -6 2 m'
_space_group_IT_number 189
_space_group_name_Hall 'P -6 -2'
loop_
_atom_site_label
_atom_site_type_symbol
_atom_site_fract_x
_atom_site_fract_y
_atom_site_fract_z
Dy1 Dy 0.0000 0.2364 0.0000
Dy2 Dy 0.0000 0.6015 0.5000
Tc1 Tc 0.0000 0.0000 0.5000
Sb1 Sb 0.3333 0.6667 0.0000
# E_form (uncorrected)   -0.61 eV/atom
# Total DFT energy (no corrections)   -5.745 eV per atom
# Theoretical density   8.8 g cm⁻³

---

(4)
# Dy8TcSb2 | Alexandria via LeMat-Bulk | GGA-PBE | relaxed
data_Dy8TcSb2
_cell_length_a 19.073
_cell_length_b 4.941
_cell_length_c 6.748
_cell_angle_alpha 90.00
_cell_angle_beta 104.66
_cell_angle_gamma 90.00
_space_group_name_H-M_alt 'C 1 2/m 1'
_space_group_IT_number 12
loop_
_space_group_symop_operation_xyz
'x,y,z'
'-x,-y,-z'
'-x,y,-z'
'x,-y,z'
'x+1/2,y+1/2,z'
'-x+1/2,-y+1/2,-z'
'-x+1/2,y+1/2,-z'
'x+1/2,-y+1/2,z'
loop_
_atom_site_label
_atom_site_type_symbol
_atom_site_fract_x
_atom_site_fract_y
_atom_site_fract_z
Dy1 Dy 0.017 0.000 0.284
Dy2 Dy 0.090 0.500 0.970
Dy3 Dy 0.145 0.500 0.509
Dy4 Dy 0.218 0.000 0.827
Tc1 Tc 0.000 0.500 0.500
Sb1 Sb 0.181 0.000 0.259
# E_form (uncorrected)   -0.37 eV/atom
# Total DFT energy (no corrections)   -5.413 eV per atom
# Theoretical density   8.9 g cm⁻³

---

(5)
# Dy8Sb2Te3 | Alexandria via LeMat-Bulk | GGA-PBE | relaxed
data_Dy8Sb2Te3
_cell_length_a 14.032
_cell_length_b 9.037
_cell_length_c 6.702
_cell_angle_alpha 90.00
_cell_angle_beta 91.97
_cell_angle_gamma 90.00
_space_group_name_H-M_alt 'C 1 2/m 1'
_space_group_IT_number 12
loop_
_space_group_symop_operation_xyz
'x,y,z'
'-x,-y,-z'
'-x,y,-z'
'x,-y,z'
'x+1/2,y+1/2,z'
'-x+1/2,-y+1/2,-z'
'-x+1/2,y+1/2,-z'
'x+1/2,-y+1/2,z'
loop_
_atom_site_label
_atom_site_type_symbol
_atom_site_fract_x
_atom_site_fract_y
_atom_site_fract_z
Dy1 Dy 0.131 0.000 0.156
Dy2 Dy 0.149 0.500 0.087
Dy3 Dy 0.158 0.194 0.698
Sb1 Sb 0.198 0.500 0.543
Te1 Te 0.000 0.000 0.500
Te2 Te 0.000 0.258 0.000
# E_form (uncorrected)   -0.81 eV/atom
# Total DFT energy (no corrections)   -5.006 eV per atom
# Theoretical density   7.5 g cm⁻³

---

(6)
# Dy5SbTe4 | Alexandria via LeMat-Bulk | GGA-PBE | relaxed
data_Dy5SbTe4
_cell_length_a 4.339
_cell_length_b 4.339
_cell_length_c 31.170
_cell_angle_alpha 90.00
_cell_angle_beta 90.00
_cell_angle_gamma 90.00
_space_group_name_H-M_alt 'I 4/m m m'
_space_group_IT_number 139
_space_group_name_Hall '-I 4 2'
loop_
_atom_site_label
_atom_site_type_symbol
_atom_site_fract_x
_atom_site_fract_y
_atom_site_fract_z
Dy1 Dy 0.000 0.000 0.000
Dy2 Dy 0.000 0.000 0.206
Dy3 Dy 0.000 0.000 0.405
Sb1 Sb 0.000 0.000 0.500
Te1 Te 0.000 0.000 0.103
Te2 Te 0.000 0.000 0.304
# E_form (uncorrected)   -1.27 eV/atom
# Total DFT energy (no corrections)   -5.240 eV per atom
# Theoretical density   8.2 g cm⁻³